CdNi: optimized geometry, PBE.

a b c (Å): 2.9040 2.9040 8.5833
angles (deg): 90.00 90.00 120.00
Space group P6_3/mmc (No. 194)
One atom of each set of equivalent atoms:
Cd 0.0000 0.0000 0.0000
Ni 0.3333 0.6667 0.2500

Computed properties:
M_tot: 0.00 μB per atom
formation enthalpy at 0 K: 0.4 eV/f.u.
energy: -6.305 eV/f.u.